No. 1
The following is a PBE-GGA calculation of crystalline TcSb2 at its relaxed geometry, from Alexandria.

CIF file:
```
data_TcSb2
_chemical_formula_sum 'Tc4 Sb8'
_cell_length_a 6.822
_cell_length_b 4.413
_cell_length_c 8.413
_cell_angle_alpha 90.00
_cell_angle_beta 90.00
_cell_angle_gamma 90.00
_space_group_name_H-M_alt 'P n m a'
_space_group_IT_number 62
loop_
_space_group_symop_operation_xyz
'x,y,z'
'-x,-y,-z'
'-x+1/2,-y,z+1/2'
'x+1/2,y,-z+1/2'
'x+1/2,-y+1/2,-z+1/2'
'-x+1/2,y+1/2,z+1/2'
'-x,y+1/2,-z'
'x,-y+1/2,z'
loop_
_atom_site_label
_atom_site_type_symbol
_atom_site_fract_x
_atom_site_fract_y
_atom_site_fract_z
Tc1 Tc 0.233 0.250 0.144
Sb1 Sb 0.056 0.750 0.343
Sb2 Sb 0.148 0.750 0.957
```

Properties
* polymorph energy (0 for the lowest one): 232 meV per atom

No. 2
The following is a PBE-GGA calculation of crystalline TcSb3 at its relaxed geometry, from Alexandria.

CIF file:
```
data_TcSb3
_chemical_formula_sum 'Tc1 Sb3'
_cell_length_a 3.3072
_cell_length_b 3.3072
_cell_length_c 10.0085
_cell_angle_alpha 90.00
_cell_angle_beta 90.00
_cell_angle_gamma 120.00
_space_group_name_H-M_alt 'P -6 m 2'
_space_group_IT_number 187
_space_group_name_Hall 'P -6 2'
loop_
_atom_site_label
_atom_site_type_symbol
_atom_site_fract_x
_atom_site_fract_y
_atom_site_fract_z
Tc1 Tc 0.0000 0.0000 0.0000
Sb1 Sb 0.0000 0.0000 0.5000
Sb2 Sb 0.3333 0.6667 0.1956
```

Properties
* polymorph energy (0 for the lowest one): 181 meV per atom

Calculated raw formation energy (eV/atom), listed in the same order as above: 0.21; 0.21
Calculated V (Å³/f.u.), listed in the same order as above: 63.32; 94.80